The following is a DFT calculation (GGA-PBE) of crystalline YAgBr at its relaxed geometry.

Results
Size of the total moment = 0.001 μB per cell
DOS(E_F) = 0.957 states/eV per atom
Energy relative to the lowest polymorph listed for this composition = 0 meV/atom
Total DFT energy (no corrections) = -27.07 eV/cell
ΔE_f (raw) = -2.55 eV per formula unit

Cell lengths 12.4010, 12.4010, 12.4010 Å; angles 19.07, 19.07, 19.07 degrees
Last column: nearest neighbours and their distance in Å.
Atoms (fractional coordinates):
Y 0.0671 0.0671 0.0671  3 Br 2.96, 3 Ag 2.97
Y 0.9329 0.9329 0.9329  3 Br 2.96, 3 Ag 2.97
Ag 0.3517 0.3517 0.3517  3 Ag 2.72, 3 Y 2.97
Ag 0.6483 0.6483 0.6483  3 Ag 2.72, 3 Y 2.97
Br 0.2179 0.2179 0.2179  3 Y 2.96
Br 0.7821 0.7821 0.7821  3 Y 2.96

The following is a DFT calculation (GGA-PBE) of crystalline Na3In2Sn8 at its relaxed geometry.

Results
Size of the total moment = 0.000 μB per cell
DOS(E_F) = 0.474 states/eV per atom
ΔH_f (0 K) = -0.0032 eV/atom
Total DFT energy (no corrections) = -41.50 eV/cell

Cell lengths 10.5100, 10.5100, 4.5070 Å; angles 90.00, 90.00, 129.38 degrees
Last column: nearest neighbours and their distance in Å.
Atoms (fractional coordinates):
Na 0.0000 0.0000 0.0000  8 Sn 3.31-3.40, 4 Na 3.50
Na 0.2976 0.2976 0.5000  8 Sn 3.31-3.61, 3 Na 3.50-3.64
Na 0.7024 0.7024 0.5000  8 Sn 3.31-3.61, 3 Na 3.50-3.64
In 0.2440 0.7560 0.0000  8 Sn 3.08-3.22
In 0.7560 0.2440 0.0000  8 Sn 3.08-3.22
Sn 0.1214 0.3869 0.0000  2 In 3.11-3.22, 4 Sn 3.17-3.21, 3 Na 3.40
Sn 0.1276 0.8724 0.5000  2 In 3.16, 4 Sn 3.21, 2 Na 3.31
Sn 0.3544 0.6456 0.5000  2 In 3.08, 4 Sn 3.17, 2 Na 3.31
Sn 0.3869 0.1214 0.0000  2 In 3.11-3.22, 4 Sn 3.17-3.21, 3 Na 3.40
Sn 0.6131 0.8786 0.0000  2 In 3.11-3.22, 4 Sn 3.17-3.21, 3 Na 3.40
Sn 0.6456 0.3544 0.5000  2 In 3.08, 4 Sn 3.17, 2 Na 3.31
Sn 0.8724 0.1276 0.5000  2 In 3.16, 4 Sn 3.21, 2 Na 3.31
Sn 0.8786 0.6131 0.0000  2 In 3.11-3.22, 4 Sn 3.17-3.21, 3 Na 3.40

The following is a DFT calculation (GGA-PBE) of crystalline DyH4Pd2 at its relaxed geometry.

Results
Size of the total moment = 0.000 μB per cell
DOS(E_F) = 0.341 states/eV per atom
Total DFT energy (no corrections) = -61.86 eV/cell

Cell lengths 5.0842, 5.0842, 8.4521 Å; angles 90.00, 90.00, 140.35 degrees
Last column: nearest neighbours and their distance in Å.
Atoms (fractional coordinates):
Dy 0.0901 0.9099 0.7500  8 H 2.25-2.45
Dy 0.9099 0.0901 0.2500  8 H 2.25-2.45
H 0.0000 0.0000 0.0000  4 Pd 2.23, 2 Dy 2.28
H 0.0000 0.0000 0.5000  4 Pd 2.23, 2 Dy 2.28
H 0.2689 0.7311 0.1195  1 Pd 1.73
H 0.2689 0.7311 0.3805  1 Pd 1.73
H 0.4385 0.5615 0.7500  2 Pd 1.79
H 0.5615 0.4385 0.2500  2 Pd 1.79
H 0.7311 0.2689 0.6195  1 Pd 1.73
H 0.7311 0.2689 0.8805  1 Pd 1.73
Pd 0.3607 0.6393 0.5570  2 H 1.73-1.79
Pd 0.3607 0.6393 0.9430  2 H 1.73-1.79
Pd 0.6393 0.3607 0.0570  2 H 1.73-1.79
Pd 0.6393 0.3607 0.4430  2 H 1.73-1.79

The following is a DFT calculation (GGA-PBE) of crystalline Zr2ScNi at its relaxed geometry.

Results
Size of the total moment = 0.000 μB per cell
DOS(E_F) = 1.194 states/eV per atom
Energy relative to the lowest polymorph listed for this composition = 200 meV/atom
ΔH_f (0 K) = -0.0420 eV/atom
Total DFT energy (no corrections) = -29.38 eV/cell

Cell lengths 3.3414, 4.2830, 5.7530 Å; angles 90.00, 103.61, 90.00 degrees
Last column: nearest neighbours and their distance in Å.
Atoms (fractional coordinates):
Zr 0.0863 0.0000 0.2759  2 Ni 2.71, 1 Zr 2.77
Zr 0.9137 0.0000 0.7241  2 Ni 2.71, 1 Zr 2.77
Sc 0.5000 0.5000 0.0000  2 Ni 2.88, 8 Zr 3.08-3.17
Ni 0.5000 0.5000 0.5000  4 Zr 2.71, 2 Sc 2.88

The following is a DFT calculation (GGA-PBE) of crystalline NpSi2Pt5 at its relaxed geometry.

Results
Size of the total moment = 8.121 μB per cell
DOS(E_F) = 1.297 states/eV per atom
Total DFT energy (no corrections) = -119.05 eV/cell
ΔE_f (raw) = -5.53 eV per formula unit

Cell lengths 3.9345, 7.0663, 9.7004 Å; angles 90.00, 90.00, 90.00 degrees
Last column: nearest neighbours and their distance in Å.
Atoms (fractional coordinates):
Np 0.0000 0.0000 0.0000  4 Si 3.13, 8 Pt 3.23
Np 0.5000 0.5000 0.5000  4 Si 3.13, 8 Pt 3.23
Si 0.0000 0.5000 0.2490  7 Pt 2.34-2.62
Si 0.0000 0.5000 0.7510  7 Pt 2.34-2.62
Si 0.5000 0.0000 0.2510  7 Pt 2.34-2.62
Si 0.5000 0.0000 0.7490  7 Pt 2.34-2.62
Pt 0.0000 0.2005 0.3522  3 Si 2.34-2.62
Pt 0.0000 0.2005 0.6478  3 Si 2.34-2.62
Pt 0.0000 0.5000 0.0000  2 Si 2.42
Pt 0.0000 0.7995 0.3522  3 Si 2.34-2.62
Pt 0.0000 0.7995 0.6478  3 Si 2.34-2.62
Pt 0.5000 0.0000 0.5000  2 Si 2.42
Pt 0.5000 0.2995 0.1478  3 Si 2.34-2.62
Pt 0.5000 0.2995 0.8522  3 Si 2.34-2.62
Pt 0.5000 0.7005 0.1478  3 Si 2.34-2.62
Pt 0.5000 0.7005 0.8522  3 Si 2.34-2.62

The following is a DFT calculation (GGA-PBE) of crystalline BaSc2Mn at its relaxed geometry.

Results
Size of the total moment = 0.000 μB per cell
DOS(E_F) = 1.276 states/eV per atom
Energy relative to the lowest polymorph listed for this composition = 247 meV/atom
ΔH_f (0 K) = 0.4848 eV/atom
Total DFT energy (no corrections) = -65.45 eV/cell

Cell lengths 3.3578, 3.3578, 31.3039 Å; angles 90.00, 90.00, 120.00 degrees
Last column: nearest neighbours and their distance in Å.
Atoms (fractional coordinates):
Ba 0.0000 0.0000 0.0000  6 Ba 3.36, 2 Sc 3.49
Ba 0.3333 0.6667 0.6667  6 Ba 3.36, 2 Sc 3.49
Ba 0.6667 0.3333 0.3333  6 Ba 3.36, 2 Sc 3.49
Sc 0.0000 0.0000 0.1114  3 Mn 2.60
Sc 0.0000 0.0000 0.8886  3 Mn 2.60
Sc 0.3333 0.6667 0.5553  3 Mn 2.60
Sc 0.3333 0.6667 0.7781  3 Mn 2.60
Sc 0.6667 0.3333 0.2219  3 Mn 2.60
Sc 0.6667 0.3333 0.4447  3 Mn 2.60
Mn 0.0000 0.0000 0.5000  6 Sc 2.60
Mn 0.3333 0.6667 0.1667  6 Sc 2.60
Mn 0.6667 0.3333 0.8333  6 Sc 2.60